(w)
Density functional theory data (PBE) for a relaxed ErZrCd crystal.

The structure in POSCAR format:
```
ErZrCd
1.0
-1.907 1.907 11.370
1.907 -1.907 11.370
1.907 1.907 -11.370
Er Zr Cd
2 2 2
Direct
0.138 0.138 0.000
0.862 0.862 0.000
0.279 0.279 0.000
0.721 0.721 0.000
0.439 0.439 0.000
0.561 0.561 0.000
```

Values from the calculation:
**Space group**: I4/mmm
**Mass density**: 7.449 g cm⁻³

(x)
Density functional theory data (PBE) for a relaxed ErZrCd crystal.

The structure in POSCAR format:
```
ErZrCd
1.0
3.324 0.000 0.000
0.000 3.324 0.000
0.000 0.000 13.416
Er Zr Cd
2 2 2
Direct
0.250 0.250 0.245
0.750 0.750 0.755
0.250 0.250 0.581
0.750 0.750 0.419
0.250 0.250 0.926
0.750 0.750 0.074
```

Values from the calculation:
**Space group**: P4/nmm
**Mass density**: 8.311 g cm⁻³

(y)
Density functional theory data (PBE) for a relaxed ErZrCd crystal.

The structure in POSCAR format:
```
ErZrCd
1.0
-1.689 1.689 6.501
1.689 -1.689 6.501
1.689 1.689 -6.501
Er Zr Cd
1 1 1
Direct
0.000 0.000 0.000
0.329 0.329 0.000
0.673 0.673 0.000
```

Values from the calculation:
**Space group**: I4mm
**Mass density**: 8.306 g cm⁻³

Energies relative to the most stable structure, in kJ/mol of atoms: (w) 16.4; (x) 4.3; (y) 0.0.

(w)
Density functional theory data (PBE) for a relaxed ErZr2Cd crystal.

The structure in POSCAR format:
```
ErZr2Cd
1.0
4.523 0.000 0.000
0.000 4.523 0.000
0.000 0.000 4.636
Er Zr Cd
1 2 1
Direct
0.000 0.000 0.000
0.000 0.500 0.500
0.500 0.000 0.500
0.500 0.500 0.000
```

Values from the calculation:
**Space group**: P4/mmm
**Mass density**: 8.093 g cm⁻³

(x)
Density functional theory data (PBE) for a relaxed ErZr2Cd crystal.

The structure in POSCAR format:
```
ErZr2Cd
1.0
1.602 0.925 11.558
-1.602 0.925 11.558
0.000 -1.850 11.558
Er Zr Cd
1 2 1
Direct
0.000 0.000 0.000
0.412 0.412 0.412
0.588 0.588 0.588
0.500 0.500 0.500
```

Values from the calculation:
**Space group**: R-3m
**Mass density**: 7.469 g cm⁻³

Energies relative to the most stable structure, in kJ/mol of atoms: (w) 0.0; (x) 29.7.